! BaMg2ZnAu4, relaxed, DFT PBE-GGA; values from VASP
&SYSTEM
  ibrav = 0, nat = 8, ntyp = 4
/
ATOMIC_SPECIES
Au 196.97 Au.upf
Mg 24.30 Mg.upf
Zn 65.41 Zn.upf
Ba 137.33 Ba.upf
CELL_PARAMETERS angstrom
-3.362 -1.657 2.668
0.744 -3.731 2.587
2.150 3.901 9.097
ATOMIC_POSITIONS crystal
Au 0.135 0.135 0.596
Au 0.865 0.865 0.404
Au 0.592 0.592 0.223
Au 0.408 0.408 0.777
Mg 0.232 0.232 0.306
Mg 0.768 0.768 0.694
Zn 0.500 0.500 0.500
Ba 0.000 0.000 0.000
! Space group: R-3m (166)
! Fermi-level density of states, states/eV/atom: 0.29
! ΔH_f (0 K), eV per atom: -0.53

***

! BaMg2Zn2Au2, relaxed, DFT PBE-GGA; values from VASP
&SYSTEM
  ibrav = 0, nat = 7, ntyp = 4
/
ATOMIC_SPECIES
Ba 137.33 Ba.upf
Mg 24.30 Mg.upf
Zn 65.41 Zn.upf
Au 196.97 Au.upf
CELL_PARAMETERS angstrom
-0.344 -0.293 -4.583
3.798 -0.405 -2.573
0.614 -9.176 -1.773
ATOMIC_POSITIONS crystal
Ba 0.000 0.000 0.000
Mg 0.135 0.135 0.596
Mg 0.865 0.865 0.404
Zn 0.575 0.575 0.276
Zn 0.425 0.425 0.724
Au 0.238 0.238 0.285
Au 0.762 0.762 0.715
! Space group: R-3m (166)
! Fermi-level density of states, states/eV/atom: 0.52
! ΔH_f (0 K), eV per atom: -0.46

***

! BaMgZnAu, relaxed, DFT PBE-GGA; values from VASP
&SYSTEM
  ibrav = 0, nat = 4, ntyp = 4
/
ATOMIC_SPECIES
Au 196.97 Au.upf
Zn 65.41 Zn.upf
Mg 24.30 Mg.upf
Ba 137.33 Ba.upf
CELL_PARAMETERS angstrom
4.746 0.000 0.000
-2.373 4.106 -0.005
0.000 -2.736 5.741
ATOMIC_POSITIONS crystal
Au 0.424 0.848 0.915
Zn 0.814 0.628 0.085
Mg 0.110 0.220 0.973
Ba 0.618 0.236 0.495
! Space group: Cm (8)
! Fermi-level density of states, states/eV/atom: 0.50
! ΔH_f (0 K), eV per atom: -0.43

***

! BaMgZrAu2, relaxed, DFT PBE-GGA; values from VASP
&SYSTEM
  ibrav = 0, nat = 5, ntyp = 4
/
ATOMIC_SPECIES
Au 196.97 Au.upf
Zr 91.22 Zr.upf
Ba 137.33 Ba.upf
Mg 24.30 Mg.upf
CELL_PARAMETERS angstrom
5.655 0.000 0.000
0.000 5.791 0.000
0.000 0.000 5.655
ATOMIC_POSITIONS crystal
Au 0.000 0.000 0.500
Au 0.500 0.000 0.000
Zr 0.500 0.500 0.500
Ba 0.000 0.000 0.000
Mg 0.000 0.500 0.000
! Space group: P4/mmm (123)
! Fermi-level density of states, states/eV/atom: 0.79
! ΔH_f (0 K), eV per atom: 1.16

***

! BaMnAu2, relaxed, DFT PBE-GGA; values from VASP
&SYSTEM
  ibrav = 0, nat = 4, ntyp = 3
/
ATOMIC_SPECIES
Au 196.97 Au.upf
Ba 137.33 Ba.upf
Mn 54.94 Mn.upf
CELL_PARAMETERS angstrom
-2.055 -2.599 -3.208
2.125 -3.753 -1.634
-2.462 -5.368 2.604
ATOMIC_POSITIONS crystal
Au 0.972 0.972 0.083
Au 0.704 0.704 0.889
Ba 0.506 0.506 0.481
Mn 0.318 0.318 0.047
! Space group: Cm (8)
! Fermi-level density of states, states/eV/atom: 0.65
! ΔH_f (0 K), eV per atom: -0.26

***

! BaMnAu2, relaxed, DFT PBE-GGA; values from VASP
&SYSTEM
  ibrav = 0, nat = 4, ntyp = 3
/
ATOMIC_SPECIES
Au 196.97 Au.upf
Mn 54.94 Mn.upf
Ba 137.33 Ba.upf
CELL_PARAMETERS angstrom
-2.805 -2.220 -0.363
2.237 -2.772 -0.335
2.087 -3.782 7.006
ATOMIC_POSITIONS crystal
Au 0.000 0.061 0.939
Au 0.000 0.439 0.561
Mn 0.500 0.750 0.750
Ba 0.500 0.250 0.250
! Space group: Pmmm (47)
! Fermi-level density of states, states/eV/atom: 0.70
! ΔH_f (0 K), eV per atom: -0.20

***

! BaMnAu2, relaxed, DFT PBE-GGA; values from VASP
&SYSTEM
  ibrav = 0, nat = 4, ntyp = 3
/
ATOMIC_SPECIES
Ba 137.33 Ba.upf
Mn 54.94 Mn.upf
Au 196.97 Au.upf
CELL_PARAMETERS angstrom
1.297 -3.230 3.943
-3.226 -0.551 4.117
-2.637 -4.498 0.691
ATOMIC_POSITIONS crystal
Ba 0.500 0.500 0.500
Mn 0.000 0.000 0.000
Au 0.750 0.750 0.750
Au 0.250 0.250 0.250
! Space group: Fm-3m (225)
! Fermi-level density of states, states/eV/atom: 0.51
! ΔH_f (0 K), eV per atom: -0.06

***

! BaMnAu4, relaxed, DFT PBE-GGA; values from VASP
&SYSTEM
  ibrav = 0, nat = 6, ntyp = 3
/
ATOMIC_SPECIES
Au 196.97 Au.upf
Mn 54.94 Mn.upf
Ba 137.33 Ba.upf
CELL_PARAMETERS angstrom
0.000 4.059 4.059
4.059 0.000 4.059
4.059 4.059 0.000
ATOMIC_POSITIONS crystal
Au 0.374 0.374 0.374
Au 0.374 0.878 0.374
Au 0.878 0.374 0.374
Au 0.374 0.374 0.878
Mn 0.000 0.000 0.000
Ba 0.750 0.750 0.750
! Space group: F-43m (216)
! Fermi-level density of states, states/eV/atom: 1.00
! ΔH_f (0 K), eV per atom: -0.11

***

! BaMnAu2, relaxed, DFT PBE-GGA; values from VASP
&SYSTEM
  ibrav = 0, nat = 4, ntyp = 3
/
ATOMIC_SPECIES
Mn 54.94 Mn.upf
Au 196.97 Au.upf
Ba 137.33 Ba.upf
CELL_PARAMETERS angstrom
-0.686 5.887 0.883
-1.428 1.523 5.617
4.161 -2.777 -3.298
ATOMIC_POSITIONS crystal
Mn 0.791 0.291 0.500
Au 0.989 0.989 0.000
Au 0.221 0.721 0.500
Ba 0.499 0.499 0.000
! Space group: Imm2 (44)
! Fermi-level density of states, states/eV/atom: 0.72
! ΔH_f (0 K), eV per atom: 0.02

***

! Ba3MnAu, relaxed, DFT PBE-GGA; values from VASP
&SYSTEM
  ibrav = 0, nat = 5, ntyp = 3
/
ATOMIC_SPECIES
Au 196.97 Au.upf
Ba 137.33 Ba.upf
Mn 54.94 Mn.upf
CELL_PARAMETERS angstrom
6.337 0.000 0.000
0.000 6.337 0.000
0.000 0.000 6.337
ATOMIC_POSITIONS crystal
Au 0.000 0.000 0.000
Ba 0.000 0.000 0.500
Ba 0.500 0.000 0.000
Ba 0.000 0.500 0.000
Mn 0.500 0.500 0.500
! Space group: Pm-3m (221)
! ΔE to the lowest computed polymorph, meV/atom: 0
! Fermi-level density of states, states/eV/atom: 0.61
! ΔH_f (0 K), eV per atom: 0.18

***

! BaMn4Au, relaxed, DFT PBE-GGA; values from VASP
&SYSTEM
  ibrav = 0, nat = 6, ntyp = 3
/
ATOMIC_SPECIES
Au 196.97 Au.upf
Ba 137.33 Ba.upf
Mn 54.94 Mn.upf
CELL_PARAMETERS angstrom
-5.008 -0.799 2.124
-3.697 -3.013 -2.735
-1.429 -4.966 1.878
ATOMIC_POSITIONS crystal
Au 0.750 0.750 0.750
Ba 0.000 0.000 0.000
Mn 0.377 0.377 0.377
Mn 0.377 0.377 0.869
Mn 0.869 0.377 0.377
Mn 0.377 0.869 0.377
! Space group: F-43m (216)
! Fermi-level density of states, states/eV/atom: 1.19
! ΔH_f (0 K), eV per atom: 0.55

***

! BaMnAu3, relaxed, DFT PBE-GGA; values from VASP
&SYSTEM
  ibrav = 0, nat = 5, ntyp = 3
/
ATOMIC_SPECIES
Ba 137.33 Ba.upf
Au 196.97 Au.upf
Mn 54.94 Mn.upf
CELL_PARAMETERS angstrom
-0.652 -5.712 -1.990
4.552 0.855 -3.945
3.983 -1.911 4.182
ATOMIC_POSITIONS crystal
Ba 0.000 0.000 0.000
Au 0.500 0.000 0.000
Au 0.000 0.500 0.000
Au 0.000 0.000 0.500
Mn 0.500 0.500 0.500
! Space group: Pm-3m (221)
! ΔE to the lowest computed polymorph, meV/atom: 1142
! Fermi-level density of states, states/eV/atom: 0.13
! ΔH_f (0 K), eV per atom: 0.90

***

! BaMnAu2, relaxed, DFT PBE-GGA; values from VASP
&SYSTEM
  ibrav = 0, nat = 4, ntyp = 3
/
ATOMIC_SPECIES
Au 196.97 Au.upf
Ba 137.33 Ba.upf
Mn 54.94 Mn.upf
CELL_PARAMETERS angstrom
-3.856 -4.164 -0.806
-1.167 -2.764 4.884
0.130 5.550 -1.427
ATOMIC_POSITIONS crystal
Au 0.000 0.000 0.000
Au 0.250 0.750 0.500
Ba 0.500 0.500 0.000
Mn 0.750 0.250 0.500
! Space group: I-4m2 (119)
! Fermi-level density of states, states/eV/atom: 0.77
! ΔH_f (0 K), eV per atom: 0.07

***

! BaMnAu3, relaxed, DFT PBE-GGA; values from VASP
&SYSTEM
  ibrav = 0, nat = 5, ntyp = 3
/
ATOMIC_SPECIES
Ba 137.33 Ba.upf
Mn 54.94 Mn.upf
Au 196.97 Au.upf
CELL_PARAMETERS angstrom
-3.152 -3.661 1.697
3.555 -3.538 -1.029
1.909 0.545 4.720
ATOMIC_POSITIONS crystal
Ba 0.500 0.500 0.500
Mn 0.000 0.000 0.000
Au 0.000 0.500 0.000
Au 0.500 0.000 0.000
Au 0.000 0.000 0.500
! Space group: Pm-3m (221)
! ΔE to the lowest computed polymorph, meV/atom: 0
! Fermi-level density of states, states/eV/atom: 0.50
! ΔH_f (0 K), eV per atom: -0.24

***

! BaMnAu2, relaxed, DFT PBE-GGA; values from VASP
&SYSTEM
  ibrav = 0, nat = 4, ntyp = 3
/
ATOMIC_SPECIES
Ba 137.33 Ba.upf
Au 196.97 Au.upf
Mn 54.94 Mn.upf
CELL_PARAMETERS angstrom
5.169 0.000 0.000
0.000 5.171 0.000
0.000 0.000 3.742
ATOMIC_POSITIONS crystal
Ba 0.500 0.000 0.500
Au 0.000 0.000 0.000
Au 0.500 0.500 0.000
Mn 0.000 0.500 0.500
! Space group: P4/mmm (123)
! Fermi-level density of states, states/eV/atom: 0.50
! ΔH_f (0 K), eV per atom: -0.02

***

! BaMnAu2, relaxed, DFT PBE-GGA; values from VASP
&SYSTEM
  ibrav = 0, nat = 4, ntyp = 3
/
ATOMIC_SPECIES
Au 196.97 Au.upf
Ba 137.33 Ba.upf
Mn 54.94 Mn.upf
CELL_PARAMETERS angstrom
4.119 0.000 0.000
0.000 3.752 -0.328
0.000 0.599 6.812
ATOMIC_POSITIONS crystal
Au 0.000 0.125 0.893
Au 0.500 0.125 0.210
Ba 0.000 0.625 0.473
Mn 0.500 0.625 0.924
! Space group: Pmm2 (25)
! Fermi-level density of states, states/eV/atom: 0.61
! ΔH_f (0 K), eV per atom: -0.17

***

! BaMnAu2, relaxed, DFT PBE-GGA; values from VASP
&SYSTEM
  ibrav = 0, nat = 4, ntyp = 3
/
ATOMIC_SPECIES
Ba 137.33 Ba.upf
Au 196.97 Au.upf
Mn 54.94 Mn.upf
CELL_PARAMETERS angstrom
3.793 0.000 0.000
0.000 3.793 0.000
0.000 0.000 7.162
ATOMIC_POSITIONS crystal
Ba 0.000 0.000 0.479
Au 0.500 0.500 0.217
Au 0.000 0.000 0.950
Mn 0.500 0.500 0.854
! Space group: P4mm (99)
! Fermi-level density of states, states/eV/atom: 0.44
! ΔH_f (0 K), eV per atom: -0.08

***

! BaMnAu2, relaxed, DFT PBE-GGA; values from VASP
&SYSTEM
  ibrav = 0, nat = 4, ntyp = 3
/
ATOMIC_SPECIES
Ba 137.33 Ba.upf
Au 196.97 Au.upf
Mn 54.94 Mn.upf
CELL_PARAMETERS angstrom
-4.406 2.616 -0.642
-4.275 -2.474 -1.508
-3.904 -0.664 3.315
ATOMIC_POSITIONS crystal
Ba 0.500 0.500 0.500
Au 0.250 0.250 0.250
Au 0.000 0.000 0.000
Mn 0.750 0.750 0.750
! Space group: F-43m (216)
! Fermi-level density of states, states/eV/atom: 0.97
! ΔH_f (0 K), eV per atom: 0.09

***

! BaMnAu2, relaxed, DFT PBE-GGA; values from VASP
&SYSTEM
  ibrav = 0, nat = 8, ntyp = 3
/
ATOMIC_SPECIES
Ba 137.33 Ba.upf
Au 196.97 Au.upf
Mn 54.94 Mn.upf
CELL_PARAMETERS angstrom
5.342 0.000 0.000
0.000 5.342 0.000
2.671 2.671 8.873
ATOMIC_POSITIONS crystal
Ba 0.750 0.250 0.500
Ba 0.000 0.000 0.000
Au 0.875 0.625 0.750
Au 0.375 0.125 0.250
Au 0.375 0.625 0.750
Au 0.375 0.625 0.250
Mn 0.500 0.500 0.000
Mn 0.250 0.750 0.500
! Space group: I4_1/amd (141)
! Fermi-level density of states, states/eV/atom: 0.69
! ΔH_f (0 K), eV per atom: -0.13

***

! BaNaMn2Au, relaxed, DFT PBE-GGA; values from VASP
&SYSTEM
  ibrav = 0, nat = 5, ntyp = 4
/
ATOMIC_SPECIES
Mn 54.94 Mn.upf
Ba 137.33 Ba.upf
Au 196.97 Au.upf
Na 22.99 Na.upf
CELL_PARAMETERS angstrom
-3.472 -0.947 3.827
2.485 -5.468 0.900
3.305 2.080 3.514
ATOMIC_POSITIONS crystal
Mn 0.000 0.000 0.500
Mn 0.500 0.000 0.000
Ba 0.000 0.500 0.000
Au 0.000 0.000 0.000
Na 0.500 0.500 0.500
! Space group: P4/mmm (123)
! Fermi-level density of states, states/eV/atom: 0.72
! ΔH_f (0 K), eV per atom: 0.47

***

| no. | theoretical density (Mg/m³) |
| --- | --- |
| 1 | 9.63 |
| 2 | 7.15 |
| 3 | 6.30 |
| 4 | 5.80 |
| 5 | 8.99 |
| 6 | 10.21 |
| 7 | 9.46 |
| 8 | 12.16 |
| 9 | 9.68 |
| 10 | 4.33 |
| 11 | 7.83 |
| 12 | 5.78 |
| 13 | 9.88 |
| 14 | 9.69 |
| 15 | 9.73 |
| 16 | 9.18 |
| 17 | 9.45 |
| 18 | 9.99 |
| 19 | 7.69 |
| 20 | 4.63 |